1.
La8OsRu3Br3 after structural relaxation, computed with PBE.

```
data_La8OsRu3Br3
_chemical_formula_sum 'La8 Os1 Ru3 Br3'
_cell_length_a 8.379
_cell_length_b 8.369
_cell_length_c 9.224
_cell_angle_alpha 116.94
_cell_angle_beta 90.00
_cell_angle_gamma 120.04
_space_group_name_H-M_alt 'P 1'
_space_group_IT_number 1
_space_group_name_Hall 'P 1'
loop_
_atom_site_label
_atom_site_type_symbol
_atom_site_fract_x
_atom_site_fract_y
_atom_site_fract_z
La1 La 0.269 0.539 0.308
La2 La 0.731 0.461 0.692
La3 La 0.770 0.540 0.307
La4 La 0.230 0.460 0.693
La5 La 0.770 0.036 0.306
La6 La 0.230 0.964 0.694
La7 La 0.266 0.036 0.306
La8 La 0.734 0.964 0.694
Os1 Os 0.000 0.000 0.500
Ru1 Ru 0.500 0.000 0.500
Ru2 Ru 0.500 0.500 0.500
Ru3 Ru 0.000 0.500 0.500
Br1 Br 0.000 0.000 0.000
Br2 Br 0.000 0.500 0.000
Br3 Br 0.500 0.500 0.000
```

Calculated values
E_form (uncorrected) = -0.726 eV/atom

***

2.
AlPt2O after structural relaxation, computed with PBE.

```
data_AlPt2O
_chemical_formula_sum 'Al2 Pt4 O2'
_cell_length_a 4.610
_cell_length_b 4.610
_cell_length_c 7.172
_cell_angle_alpha 71.25
_cell_angle_beta 71.25
_cell_angle_gamma 90.00
_space_group_name_H-M_alt 'P 1'
_space_group_IT_number 1
_space_group_name_Hall 'P 1'
loop_
_atom_site_label
_atom_site_type_symbol
_atom_site_fract_x
_atom_site_fract_y
_atom_site_fract_z
O1 O 0.500 0.500 0.000
O2 O 0.250 0.750 0.500
Al1 Al 0.000 0.000 0.000
Al2 Al 0.750 0.250 0.500
Pt1 Pt 0.542 0.125 0.250
Pt2 Pt 0.208 0.625 0.250
Pt3 Pt 0.375 0.458 0.750
Pt4 Pt 0.875 0.792 0.750
```

Calculated values
E_form (uncorrected) = -0.119 eV/atom
energy above the most stable polymorph in this dataset = 0.053 eV/atom

***

Number 1: theoretical density 6419 kg/m3, energy -94.4 eV per formula unit. Number 2: theoretical density 10594 kg/m3, energy -21.3 eV per formula unit.